CuAgBI2: PBEsol geometry, SCAN.

a = 5.444 Å, b = 5.444 Å, c = 3.838 Å
α = 90.00°, β = 90.00°, γ = 90.00°
Space group P4/mmm (No. 123)
One atom of each set of equivalent atoms:
Cu: 0.000 0.000 0.000 (multiplicity 1)
Ag: 0.500 0.500 0.500 (multiplicity 1)
B: 0.000 0.000 0.500 (multiplicity 1)
I: 0.000 0.500 0.000 (multiplicity 2)

Output
Crystal system ... tetragonal
E_tot ... -24.8069 eV per atom
Formation energy (no corrections) ... 0.69 eV/atom